Record 1
MgSc2Mn after structural relaxation. Source: the Alexandria database, functional GGA-PBEsol.

The structure in extended XYZ format:
```
4
Lattice="4.793 0.000 0.000 0.000 4.793 0.000 0.000 0.000 3.449" Properties=species:S:1:pos:R:3 pbc="T T T"
Mg 0.000 0.000 0.000
Sc 0.000 2.397 1.725
Sc 2.397 0.000 1.725
Mn 2.397 2.397 0.000
```

Space-group type = P4/mmm (123)
Formation enthalpy at 0 K = 166 meV/atom
Raw total energy = -6.01 eV/atom

***

Record 2
MgSc2Mn after structural relaxation. Source: the Alexandria database, functional GGA-PBEsol.

The structure in extended XYZ format:
```
4
Lattice="3.156 0.000 0.000 0.000 3.156 0.000 0.000 0.000 7.730" Properties=species:S:1:pos:R:3 pbc="T T T"
Mg 0.000 0.000 0.000
Sc 1.578 1.578 2.367
Sc 1.578 1.578 5.363
Mn 0.000 0.000 3.865
```

Space-group type = P4/mmm (123)
Formation enthalpy at 0 K = -4 meV/atom
Raw total energy = -6.18 eV/atom

***

Record 3
MgScMn2Zn after structural relaxation. Source: the Alexandria database, functional GGA-PBEsol.

The structure in extended XYZ format:
```
5
Lattice="4.628 0.000 0.000 0.000 4.628 0.000 0.000 0.000 4.643" Properties=species:S:1:pos:R:3 pbc="T T T"
Mg 0.000 0.000 0.000
Sc 2.314 2.314 0.000
Mn 0.000 2.314 2.322
Mn 2.314 0.000 2.322
Zn 0.000 0.000 2.322
```

Space-group type = P4/mmm (123)
Formation enthalpy at 0 K = 732 meV/atom
Raw total energy = -5.15 eV/atom

***

Record 4
Mg3MnSe after structural relaxation. Source: the Alexandria database, functional GGA-PBEsol.

The structure in extended XYZ format:
```
5
Lattice="5.029 0.000 0.000 0.000 5.029 0.000 0.000 0.000 5.029" Properties=species:S:1:pos:R:3 pbc="T T T"
Mg 0.000 0.000 2.514
Mg 0.000 2.514 0.000
Mg 2.514 0.000 0.000
Mn 0.000 0.000 0.000
Se 2.514 2.514 2.514
```

Space-group type = Pm-3m (221)
Uncorrected formation energy = 61.12 kJ per mole of atoms
Raw total energy = -3.12 eV/atom

***

Record 5
MgMnTc2Sn after structural relaxation. Source: the Alexandria database, functional GGA-PBEsol.

The structure in extended XYZ format:
```
5
Lattice="4.881 0.000 0.000 0.000 4.881 0.000 0.000 0.000 4.875" Properties=species:S:1:pos:R:3 pbc="T T T"
Mg 0.000 0.000 0.000
Mn 2.441 2.441 0.000
Tc 0.000 2.441 2.437
Tc 2.441 0.000 2.437
Sn 0.000 0.000 2.437
```

Space-group type = P4/mmm (123)
Formation enthalpy at 0 K = 1857 meV/atom
Raw total energy = -5.80 eV/atom

***

Record 6
SrMg2Mn after structural relaxation. Source: the Alexandria database, functional GGA-PBEsol.

The structure in extended XYZ format:
```
4
Lattice="3.200 -4.910 0.000 3.200 4.910 0.000 0.000 0.000 3.228" Properties=species:S:1:pos:R:3 pbc="T T T"
Sr 0.000 0.000 0.000
Mg 1.600 2.455 1.614
Mg 1.600 -2.455 1.614
Mn 3.200 0.000 0.000
```

Space-group type = Cmmm (65)
Formation enthalpy at 0 K = 540 meV/atom
Raw total energy = -3.22 eV/atom

***

Record 7
SrMg2Mn after structural relaxation. Source: the Alexandria database, functional GGA-PBEsol.

The structure in extended XYZ format:
```
4
Lattice="3.511 0.000 0.000 0.000 3.558 0.000 0.000 0.000 8.072" Properties=species:S:1:pos:R:3 pbc="T T T"
Sr 0.000 0.000 0.000
Mg 0.000 0.000 4.560
Mg 1.756 1.779 2.700
Mn 1.756 1.779 5.844
```

Space-group type = Pmm2 (25)
Formation enthalpy at 0 K = 356 meV/atom
Raw total energy = -3.40 eV/atom

***

Record 8
MgTaMn2 after structural relaxation. Source: the Alexandria database, functional GGA-PBEsol.

The structure in extended XYZ format:
```
4
Lattice="0.000 3.063 3.063 3.063 0.000 3.063 3.063 3.063 0.000" Properties=species:S:1:pos:R:3 pbc="T T T"
Mg 0.000 0.000 0.000
Ta 4.595 4.595 4.595
Mn 1.532 1.532 1.532
Mn 3.063 3.063 3.063
```

Space-group type = F-43m (216)
Formation enthalpy at 0 K = 493 meV/atom
Raw total energy = -7.95 eV/atom